No. 1
VASP calculation (PBE-GGA) on a geometry-optimized ErPaPt3 structure.

Results
- volume (Å³ per cell) = 212.9
- uncorrected energy (eV/atom) = -7.573

Cell and atoms, written as CIF:
```
data_ErPaPt3
_chemical_formula_sum 'Er2 Pa2 Pt6'
_cell_length_a 4.2004
_cell_length_b 5.6613
_cell_length_c 8.9542
_cell_angle_alpha 90.00
_cell_angle_beta 90.00
_cell_angle_gamma 90.00
_space_group_name_H-M_alt 'P m m n'
_space_group_IT_number 59
loop_
_space_group_symop_operation_xyz
'x,y,z'
'-x,-y,-z'
'-x+1/2,-y+1/2,z'
'x+1/2,y+1/2,-z'
'x+1/2,-y,-z'
'-x+1/2,y,z'
'-x,y+1/2,-z'
'x,-y+1/2,z'
loop_
_atom_site_label
_atom_site_fract_x
_atom_site_fract_y
_atom_site_fract_z
Er1 0.2500 0.2500 0.0552
Pa1 0.2500 0.7500 0.3906
Pt1 0.2500 0.2500 0.3878
Pt2 0.2500 0.5022 0.7774
```

---

No. 2
VASP calculation (PBE-GGA) on a geometry-optimized Er2PaPt structure.

Results
- volume (Å³ per cell) = 96.8
- uncorrected energy (eV/atom) = -6.665

Cell and atoms, written as CIF:
```
data_Er2PaPt
_chemical_formula_sum 'Er2 Pa1 Pt1'
_cell_length_a 3.4395
_cell_length_b 3.4395
_cell_length_c 8.1805
_cell_angle_alpha 90.00
_cell_angle_beta 90.00
_cell_angle_gamma 90.00
_space_group_name_H-M_alt 'P 4/m m m'
_space_group_IT_number 123
_space_group_name_Hall '-P 4 2'
loop_
_atom_site_label
_atom_site_fract_x
_atom_site_fract_y
_atom_site_fract_z
Er1 0.0000 0.0000 0.2069
Pa1 0.5000 0.5000 0.5000
Pt1 0.5000 0.5000 0.0000
```

---

No. 3
VASP calculation (PBE-GGA) on a geometry-optimized Er2PaPt3 structure.

Results
- volume (Å³ per cell) = 254.8
- uncorrected energy (eV/atom) = -7.202

Cell and atoms, written as CIF:
```
data_Er2PaPt3
_chemical_formula_sum 'Er4 Pa2 Pt6'
_cell_length_a 4.9501
_cell_length_b 15.0827
_cell_length_c 3.4126
_cell_angle_alpha 90.00
_cell_angle_beta 90.00
_cell_angle_gamma 90.00
_space_group_name_H-M_alt 'P m m n'
_space_group_IT_number 59
loop_
_space_group_symop_operation_xyz
'x,y,z'
'-x,-y,-z'
'-x+1/2,-y+1/2,z'
'x+1/2,y+1/2,-z'
'x+1/2,-y,-z'
'-x+1/2,y,z'
'-x,y+1/2,-z'
'x,-y+1/2,z'
loop_
_atom_site_label
_atom_site_fract_x
_atom_site_fract_y
_atom_site_fract_z
Er1 0.2500 0.0795 0.0005
Pa1 0.2500 0.7500 0.0000
Pt1 0.2500 0.2500 0.4988
Pt2 0.2500 0.5872 0.4983
```

---

No. 4
VASP calculation (PBE-GGA) on a geometry-optimized ErPaPt2 structure.

Results
- volume (Å³ per cell) = 285.2
- uncorrected energy (eV/atom) = -7.575

Cell and atoms, written as CIF:
```
data_ErPaPt2
_chemical_formula_sum 'Er3 Pa3 Pt6'
_cell_length_a 3.9719
_cell_length_b 3.9719
_cell_length_c 20.8729
_cell_angle_alpha 90.00
_cell_angle_beta 90.00
_cell_angle_gamma 120.00
_space_group_name_H-M_alt 'R 3 m'
_space_group_IT_number 160
_space_group_name_Hall 'R 3 -2"'
loop_
_atom_site_label
_atom_site_fract_x
_atom_site_fract_y
_atom_site_fract_z
Er1 0.0000 0.0000 0.0000
Pa1 0.0000 0.0000 0.1716
Pt1 0.0000 0.0000 0.5841
Pt2 0.0000 0.0000 0.7560
```

---

No. 5
VASP calculation (PBE-GGA) on a geometry-optimized ErPaPt structure.

Results
- volume (Å³ per cell) = 68.8
- uncorrected energy (eV/atom) = -7.054

Cell and atoms, written as CIF:
```
data_ErPaPt
_chemical_formula_sum 'Er1 Pa1 Pt1'
_cell_length_a 4.7737
_cell_length_b 4.7737
_cell_length_c 3.4875
_cell_angle_alpha 90.00
_cell_angle_beta 90.00
_cell_angle_gamma 120.00
_space_group_name_H-M_alt 'P 3 m 1'
_space_group_IT_number 156
loop_
_space_group_symop_operation_xyz
'x,y,z'
'-y,x-y,z'
'-x+y,-x,z'
'-y,-x,z'
'-x+y,y,z'
'x,x-y,z'
loop_
_atom_site_label
_atom_site_fract_x
_atom_site_fract_y
_atom_site_fract_z
Er1 0.0000 0.0000 0.0000
Pa1 0.3333 0.6667 0.3968
Pt1 0.6667 0.3333 0.6554
```

---

No. 6
VASP calculation (PBE-GGA) on a geometry-optimized ErPaPt2 structure.

Results
- volume (Å³ per cell) = 84.7
- uncorrected energy (eV/atom) = -7.532

Cell and atoms, written as CIF:
```
data_ErPaPt2
_chemical_formula_sum 'Er1 Pa1 Pt2'
_cell_length_a 3.4103
_cell_length_b 3.4103
_cell_length_c 7.2830
_cell_angle_alpha 90.00
_cell_angle_beta 90.00
_cell_angle_gamma 90.00
_space_group_name_H-M_alt 'P 4/m m m'
_space_group_IT_number 123
_space_group_name_Hall '-P 4 2'
loop_
_atom_site_label
_atom_site_fract_x
_atom_site_fract_y
_atom_site_fract_z
Er1 0.0000 0.0000 0.0000
Pa1 0.0000 0.0000 0.5000
Pt1 0.5000 0.5000 0.2443
```